--- P ---
Here is an optimized crystal structure of Na3ICl from the Alexandria database. Energies are from PBE-GGA.

Lattice parameters (Å, degrees): 5.547 5.547 5.547 90.00 90.00 90.00
Space group Pm-3m (No. 221)
Unique sites:
Na 0.000 0.000 0.500 (multiplicity 3)
I 0.500 0.500 0.500 (multiplicity 1)
Cl 0.000 0.000 0.000 (multiplicity 1)

Results
Crystal system: cubic


--- Q ---
Here is an optimized crystal structure of Na3ICl from the Alexandria database. Energies are from PBE-GGA.

Lattice parameters (Å, degrees): 6.056 6.056 6.056 90.00 90.00 90.00
Space group Pm-3m (No. 221)
Unique sites:
Na 0.000 0.000 0.500 (multiplicity 3)
I 0.000 0.000 0.000 (multiplicity 1)
Cl 0.500 0.500 0.500 (multiplicity 1)

Results
Crystal system: cubic


Most stable one: P, least stable one: Q.


--- P ---
Here is an optimized crystal structure of NaI2Cl from the Alexandria database. Energies are from PBE-GGA.

Lattice parameters (Å, degrees): 5.320 5.320 25.325 90.00 90.00 90.00
Space group I-42d (No. 122)
Unique sites:
Na 0.000 0.000 0.000 (multiplicity 4)
I 0.094 0.250 0.125 (multiplicity 8)
Cl 0.000 0.000 0.500 (multiplicity 4)

Results
Crystal system: tetragonal


--- Q ---
Here is an optimized crystal structure of NaI2Cl from the Alexandria database. Energies are from PBE-GGA.

Lattice parameters (Å, degrees): 8.049 8.049 8.049 90.00 90.00 90.00
Space group Fm-3m (No. 225)
Unique sites:
Na 0.000 0.000 0.000 (multiplicity 4)
I 0.250 0.250 0.250 (multiplicity 8)
Cl 0.000 0.000 0.500 (multiplicity 4)

Results
Crystal system: cubic


Most stable one: P, least stable one: Q.


--- P ---
Here is an optimized crystal structure of Na3I2Cl from the Alexandria database. Energies are from PBE-GGA.

Lattice parameters (Å, degrees): 4.470 4.470 18.774 90.00 90.00 90.00
Space group I4/mmm (No. 139)
Unique sites:
Na 0.000 0.000 0.000 (multiplicity 2)
Na 0.000 0.000 0.350 (multiplicity 4)
I 0.000 0.000 0.165 (multiplicity 4)
Cl 0.000 0.000 0.500 (multiplicity 2)

Results
Crystal system: tetragonal


--- Q ---
Here is an optimized crystal structure of Na3I2Cl from the Alexandria database. Energies are from PBE-GGA.

Lattice parameters (Å, degrees): 4.387 6.320 13.355 90.00 90.00 90.00
Space group Immm (No. 71)
Unique sites:
Na 0.000 0.000 0.000 (multiplicity 2)
Na 0.000 0.000 0.356 (multiplicity 4)
I 0.000 0.500 0.331 (multiplicity 4)
Cl 0.000 0.500 0.000 (multiplicity 2)

Results
Crystal system: orthorhombic


Most stable one: Q, least stable one: P.


--- P ---
Here is an optimized crystal structure of Na4I3Cl from the Alexandria database. Energies are from PBE-GGA.

Lattice parameters (Å, degrees): 10.470 9.162 6.449 90.00 90.00 90.00
Space group Pmn2_1 (No. 31)
Unique sites:
Na 0.000 0.126 0.000 (multiplicity 2)
Na 0.000 0.823 0.542 (multiplicity 2)
Na 0.230 0.679 0.000 (multiplicity 4)
I 0.000 0.155 0.496 (multiplicity 2)
I 0.244 0.332 0.996 (multiplicity 4)
Cl 0.000 0.825 0.981 (multiplicity 2)

Results
Crystal system: orthorhombic


--- Q ---
Here is an optimized crystal structure of Na4I3Cl from the Alexandria database. Energies are from PBE-GGA.

Lattice parameters (Å, degrees): 4.508 4.508 12.660 90.00 90.00 90.00
Space group P4/mmm (No. 123)
Unique sites:
Na 0.000 0.000 0.000 (multiplicity 1)
Na 0.000 0.000 0.500 (multiplicity 1)
Na 0.500 0.500 0.226 (multiplicity 2)
I 0.000 0.000 0.243 (multiplicity 2)
I 0.500 0.500 0.500 (multiplicity 1)
Cl 0.500 0.500 0.000 (multiplicity 1)

Results
Crystal system: tetragonal


Most stable one: Q, least stable one: P.


--- P ---
Here is an optimized crystal structure of Na3ICl2 from the Alexandria database. Energies are from PBE-GGA.

Lattice parameters (Å, degrees): 7.243 11.297 8.867 90.00 90.00 90.00
Space group Imma (No. 74)
Unique sites:
Na 0.233 0.000 0.000 (multiplicity 8)
Na 0.250 0.250 0.250 (multiplicity 4)
I 0.000 0.250 0.933 (multiplicity 4)
Cl 0.000 0.066 0.300 (multiplicity 8)

Results
Crystal system: orthorhombic


--- Q ---
Here is an optimized crystal structure of Na3ICl2 from the Alexandria database. Energies are from PBE-GGA.

Lattice parameters (Å, degrees): 4.416 17.335 11.127 90.00 90.00 90.00
Space group Cmcm (No. 63)
Unique sites:
Na 0.000 0.010 0.250 (multiplicity 4)
Na 0.000 0.397 0.014 (multiplicity 8)
I 0.000 0.346 0.750 (multiplicity 4)
Cl 0.000 0.000 0.000 (multiplicity 4)
Cl 0.000 0.407 0.250 (multiplicity 4)

Results
Crystal system: orthorhombic


Most stable one: P, least stable one: Q.


--- P ---
Here is an optimized crystal structure of NaICl5 from the Alexandria database. Energies are from PBE-GGA.

Lattice parameters (Å, degrees): 8.269 8.374 8.382 85.01 64.72 64.79
Space group P-1 (No. 2)
Unique sites:
Na 0.000 0.000 0.000 (multiplicity 1)
Na 0.500 0.500 0.500 (multiplicity 1)
I 0.250 0.130 0.370 (multiplicity 2)
Cl 0.216 0.164 0.083 (multiplicity 2)
Cl 0.248 0.125 0.670 (multiplicity 2)
Cl 0.250 0.666 0.834 (multiplicity 2)
Cl 0.252 0.830 0.375 (multiplicity 2)
Cl 0.284 0.417 0.335 (multiplicity 2)

Results
Crystal system: triclinic


--- Q ---
Here is an optimized crystal structure of NaICl5 from the Alexandria database. Energies are from PBE-GGA.

Lattice parameters (Å, degrees): 9.933 9.545 10.217 90.00 110.40 90.00
Space group C2/c (No. 15)
Unique sites:
Na 0.000 0.053 0.250 (multiplicity 4)
I 0.250 0.250 0.000 (multiplicity 4)
Cl 0.000 0.247 0.750 (multiplicity 4)
Cl 0.095 0.299 0.142 (multiplicity 8)
Cl 0.210 0.008 0.518 (multiplicity 8)

Results
Crystal system: monoclinic


Most stable one: Q, least stable one: P.